RbGa2FeHg: relaxed, GGA-PBE.

Calculated values
total DFT energy (no corrections)	-3.16	eV/atom
energy relative to the elements	-0.0005	eV per atom

Cell lengths 4.744, 4.744, 5.277 Å; angles 90.00, 90.00, 90.00 degrees
Space group P4/mmm (No. 123)
Unique sites:
Rb 0.000 0.000 0.000 [1 per cell]
Ga 0.000 0.500 0.500 [2 per cell]
Fe 0.500 0.500 0.500 [1 per cell]
Hg 0.500 0.500 0.000 [1 per cell]